No. 1
Material: Li9Sn11Rh4
Method: DFT, PBE-GGA
State: optimized geometry

Formation energy from the elements, kJ per mole of atoms: -38.4
Total energy, eV for the cell shown: -100.22
Total magnetization, μB/f.u.: 0.00

Unit cell a=3.3549 b=12.1343 c=12.1343 alpha=111.41 beta=90.00 gamma=90.00
Closest atoms and distances in Å follow each position.
Atoms (fractional coordinates):
Sn: 0.0000 0.5893 0.9393  2 Rh 2.71, 4 Li 2.94-3.01, 1 Sn 3.03
Sn: 0.0000 0.7000 0.7000  4 Rh 2.73
Sn: 0.0000 0.3676 0.6324  4 Rh 2.72
Sn: 0.0000 0.0607 0.4107  2 Rh 2.71, 4 Li 2.94-3.01, 1 Sn 3.03
Sn: 0.0000 0.0000 0.0000  8 Li 2.96, 2 Sn 3.21
Sn: 0.0000 0.4107 0.0607  2 Rh 2.71, 4 Li 2.94-3.01, 1 Sn 3.03
Sn: 0.0000 0.3000 0.3000  4 Rh 2.73
Sn: 0.0000 0.6324 0.3676  4 Rh 2.72
Sn: 0.0000 0.1599 0.8401  8 Li 2.99-3.12, 3 Sn 3.21-3.24
Sn: 0.0000 0.8401 0.1599  8 Li 2.99-3.12, 3 Sn 3.21-3.24
Sn: 0.0000 0.9393 0.5893  2 Rh 2.71, 4 Li 2.94-3.01, 1 Sn 3.03
Li: 0.5000 0.8429 0.3650  1 Rh 2.81, 1 Li 2.84, 8 Sn 2.99-3.06
Li: 0.5000 0.5000 0.5000  4 Rh 2.91, 8 Sn 3.14-3.21
Li: 0.5000 0.0711 0.2154  1 Rh 2.88, 1 Li 2.89, 8 Sn 2.94-3.12
Li: 0.5000 0.7846 0.9289  1 Rh 2.88, 1 Li 2.89, 8 Sn 2.94-3.12
Li: 0.5000 0.9289 0.7846  1 Rh 2.88, 1 Li 2.89, 8 Sn 2.94-3.12
Li: 0.5000 0.1571 0.6350  1 Rh 2.81, 1 Li 2.84, 8 Sn 2.99-3.06
Li: 0.5000 0.3650 0.8429  1 Rh 2.81, 1 Li 2.84, 8 Sn 2.99-3.06
Li: 0.5000 0.2154 0.0711  1 Rh 2.88, 1 Li 2.89, 8 Sn 2.94-3.12
Li: 0.5000 0.6350 0.1571  1 Rh 2.81, 1 Li 2.84, 8 Sn 2.99-3.06
Rh: 0.5000 0.2470 0.4517  6 Sn 2.71-2.73, 3 Li 2.81-2.91
Rh: 0.5000 0.5483 0.7530  6 Sn 2.71-2.73, 3 Li 2.81-2.91
Rh: 0.5000 0.7530 0.5483  6 Sn 2.71-2.73, 3 Li 2.81-2.91
Rh: 0.5000 0.4517 0.2470  6 Sn 2.71-2.73, 3 Li 2.81-2.91



No. 2
Material: Li8SnRh2
Method: DFT, PBE-GGA
State: optimized geometry

Formation energy from the elements, kJ per mole of atoms: -2.4
Total energy, eV for the cell shown: -34.29
Total magnetization, μB/f.u.: 0.00

Unit cell a=4.6514 b=6.7393 c=6.7393 alpha=89.69 beta=84.68 gamma=84.68
Closest atoms and distances in Å follow each position.
Atoms (fractional coordinates):
Sn: 0.0000 0.0000 0.0000  2 Li 2.57, 4 Rh 2.68-2.73
Li: 0.3093 0.9019 0.3983  1 Rh 2.47, 1 Li 2.67
Li: 0.3082 0.4146 0.4146  2 Li 2.44-2.57, 1 Rh 2.58
Li: 0.6918 0.5854 0.5854  2 Li 2.44-2.57, 1 Rh 2.58
Li: 0.3093 0.3983 0.9019  1 Rh 2.47, 1 Li 2.67
Li: 0.6907 0.0981 0.6017  1 Rh 2.47, 1 Li 2.67
Li: 0.6907 0.6017 0.0981  1 Rh 2.47, 1 Li 2.67
Li: 0.0886 0.7286 0.7286  3 Li 2.44-2.67, 2 Rh 2.53-2.70, 1 Sn 2.57
Li: 0.9114 0.2714 0.2714  3 Li 2.44-2.67, 2 Rh 2.53-2.70, 1 Sn 2.57
Rh: 0.4662 0.1455 0.1455  5 Li 2.47-2.70, 2 Sn 2.68-2.73, 1 Rh 2.76
Rh: 0.5338 0.8545 0.8545  5 Li 2.47-2.70, 2 Sn 2.68-2.73, 1 Rh 2.76



No. 3
Material: LiSn2Rh2
Method: DFT, PBE-GGA
State: optimized geometry

Distance to the lowest polymorph of the same formula, meV/atom: 162
Formation energy from the elements, kJ per mole of atoms: -32.2
Total energy, eV for the cell shown: -52.58
Total magnetization, μB/f.u.: 0.00

Unit cell a=3.2248 b=4.7661 c=12.0147 alpha=89.90 beta=90.00 gamma=90.00
Closest atoms and distances in Å follow each position.
Atoms (fractional coordinates):
Rh: 0.2500 0.7495 0.6404  5 Sn 2.64-2.74
Rh: 0.7500 0.7495 0.0377  4 Sn 2.68, 2 Li 2.92
Rh: 0.7500 0.2505 0.3596  5 Sn 2.64-2.74
Rh: 0.2500 0.2505 0.9623  4 Sn 2.68, 2 Li 2.92
Li: 0.7500 0.2520 0.7596  6 Rh 2.92-3.22, 6 Sn 3.05-3.12, 2 Li 3.22
Li: 0.2500 0.7480 0.2404  6 Rh 2.92-3.22, 6 Sn 3.05-3.12, 2 Li 3.22
Sn: 0.2500 0.2499 0.5441  4 Rh 2.65-2.74
Sn: 0.7500 0.2488 0.1400  5 Rh 2.64-2.68
Sn: 0.2500 0.7512 0.8600  5 Rh 2.64-2.68
Sn: 0.7500 0.7501 0.4559  4 Rh 2.65-2.74



No. 4
Material: LiSnRh
Method: DFT, PBE-GGA
State: optimized geometry

Formation energy from the elements, kJ per mole of atoms: -38.1
Total energy, eV for the cell shown: -14.45
Total magnetization, μB/f.u.: 0.00

Unit cell a=2.9606 b=4.3068 c=4.3068 alpha=120.00 beta=90.00 gamma=90.00
Closest atoms and distances in Å follow each position.
Atoms (fractional coordinates):
Rh: 0.2802 0.3333 0.6667  3 Li 2.59, 3 Sn 2.76
Li: 0.0390 0.0000 0.0000  3 Rh 2.59, 3 Sn 2.70
Sn: 0.6809 0.6667 0.3333  3 Li 2.70, 3 Rh 2.76, 2 Sn 2.96



No. 5
Material: SrLiSn2Rh
Method: DFT, PBE-GGA
State: optimized geometry

Distance to the lowest polymorph of the same formula, meV/atom: 115
Formation energy from the elements, kJ per mole of atoms: -38.4
Total energy, eV for the cell shown: -20.94
Total magnetization, μB/f.u.: 0.00

Unit cell a=5.1338 b=5.1338 c=4.9098 alpha=90.00 beta=90.00 gamma=90.00
Closest atoms and distances in Å follow each position.
Atoms (fractional coordinates):
Sn: 0.0000 0.5000 0.0000  2 Rh 2.57
Sn: 0.5000 0.0000 0.0000  2 Rh 2.57
Sr: 0.5000 0.5000 0.5000  8 Sn 3.55, 4 Li 3.63
Li: 0.0000 0.0000 0.5000  2 Rh 2.45
Rh: 0.0000 0.0000 0.0000  2 Li 2.45, 4 Sn 2.57



No. 6
Material: SrLiSnRh
Method: DFT, PBE-GGA
State: optimized geometry

Distance to the lowest polymorph of the same formula, meV/atom: 0
Formation energy from the elements, kJ per mole of atoms: -49.3
Total energy, eV for the cell shown: -16.99
Total magnetization, μB/f.u.: 0.00

Unit cell a=4.6310 b=4.6315 c=5.8597 alpha=113.38 beta=90.00 gamma=120.00
Closest atoms and distances in Å follow each position.
Atoms (fractional coordinates):
Sr: 0.6225 0.2450 0.5100  1 Li 3.00, 1 Rh 3.07
Rh: 0.4259 0.8518 0.9198  3 Sn 2.68, 3 Li 2.81
Sn: 0.1031 0.2063 0.9515  3 Rh 2.68, 3 Li 2.76
Li: 0.8147 0.6295 0.0860  3 Sn 2.76, 3 Rh 2.81, 1 Sr 3.00